Record 1
DFT (PBE) results for crystalline PmGe2Pd5 at its relaxed geometry.

Results
The space group is No. 71. The energy relative to the elements comes out at -0.6671 eV/atom. Its calculated total energy is -45.286 eV/f.u.

Cell lengths 3.9366, 6.4454, 6.4454 Å; angles 68.70, 72.22, 72.22 degrees
Sites, in units of the cell vectors:
Pd1 0.0000 0.5000 0.5000
Pm1 0.0000 0.0000 0.0000
Pd2 0.3537 0.8412 0.4514
Ge1 0.2495 0.2505 0.2505
Pd3 0.6463 0.1588 0.5486
Pd4 0.3537 0.4514 0.8412
Pd5 0.6463 0.5486 0.1588
Ge2 0.7505 0.7495 0.7495

Record 2
DFT (PBE) results for crystalline Pm3GePd at its relaxed geometry.

Results
The space group is No. 14. The energy relative to the elements comes out at -0.5816 eV/atom. Its calculated total energy is -26.970 eV/f.u.

Cell lengths 5.8564, 8.3961, 11.6771 Å; angles 106.39, 90.00, 90.00 degrees
Sites, in units of the cell vectors:
Pd1 0.4866 0.2152 0.1537
Pm1 0.6162 0.2843 0.4156
Pm2 0.9097 0.9282 0.7562
Ge1 0.1140 0.4271 0.3995
Pm3 0.1162 0.2157 0.5844
Pd2 0.5134 0.7848 0.8463
Pd3 0.0134 0.7152 0.1537
Pd4 0.9866 0.2848 0.8463
Ge2 0.8860 0.5729 0.6005
Ge3 0.3860 0.9271 0.3995
Pm4 0.0711 0.6396 0.9006
Pm5 0.4289 0.1396 0.9006
Pm6 0.5903 0.4282 0.7562
Pm7 0.8838 0.7843 0.4156
Pm8 0.3838 0.7157 0.5844
Ge4 0.6140 0.0729 0.6005
Pm9 0.9289 0.3604 0.0994
Pm10 0.0903 0.0718 0.2438
Pm11 0.4097 0.5718 0.2438
Pm12 0.5711 0.8604 0.0994

Record 3
DFT (PBE) results for crystalline Pm3Ge5Pd6 at its relaxed geometry.

Results
The space group is No. 59. The energy relative to the elements comes out at -0.8300 eV/atom. Its calculated total energy is -80.115 eV/f.u.

Cell lengths 4.2066, 9.6849, 13.0477 Å; angles 90.00, 90.00, 90.00 degrees
Sites, in units of the cell vectors:
Pd1 0.5000 0.9973 0.3335
Ge1 0.0000 0.5400 0.8855
Ge2 0.5000 0.1648 0.5000
Pd2 0.0000 0.0037 0.5000
Ge3 0.5000 0.4600 0.3855
Ge4 0.0000 0.8515 0.6640
Pd3 0.5000 0.4098 0.8066
Pd4 0.0000 0.5902 0.3066
Ge5 0.5000 0.4600 0.6145
Ge6 0.0000 0.5400 0.1145
Pd5 0.5000 0.5188 0.0000
Pd6 0.0000 0.4812 0.5000
Ge7 0.0000 0.8352 0.0000
Ge8 0.0000 0.8515 0.3360
Pm1 0.5000 0.7563 0.8274
Pm2 0.0000 0.2437 0.3274
Pm3 0.0000 0.2576 0.0000
Pm4 0.0000 0.2437 0.6726
Pd7 0.0000 0.5902 0.6934
Ge9 0.5000 0.1485 0.1640
Pm5 0.5000 0.7424 0.5000
Pm6 0.5000 0.7563 0.1726
Pd8 0.5000 0.9973 0.6665
Pd9 0.0000 0.0027 0.8335
Pd10 0.5000 0.9963 0.0000
Pd11 0.5000 0.4098 0.1934
Pd12 0.0000 0.0027 0.1665
Ge10 0.5000 0.1485 0.8360

Record 4
DFT (PBE) results for crystalline Pm3Ge6Pd20 at its relaxed geometry.

Results
The space group is No. 225. The energy relative to the elements comes out at -0.6606 eV/atom. Its calculated total energy is -164.971 eV/f.u.

Cell lengths 8.8866, 8.8866, 8.8866 Å; angles 60.00, 60.00, 60.00 degrees
Sites, in units of the cell vectors:
Pd1 0.0000 0.6519 0.3481
Pm1 0.0000 0.0000 0.0000
Pd2 0.0000 0.0000 0.6519
Pd3 0.3827 0.3827 0.8518
Ge1 0.7320 0.2680 0.7320
Pd4 0.6173 0.1482 0.6173
Pd5 0.0000 0.3481 0.6519
Pm2 0.2500 0.2500 0.2500
Pd6 0.3827 0.3827 0.3827
Pd7 0.6173 0.6173 0.6173
Pd8 0.6173 0.6173 0.1482
Pd9 0.3481 0.6519 0.0000
Pd10 0.6519 0.3481 0.0000
Pm3 0.7500 0.7500 0.7500
Pd11 0.6519 0.0000 0.3481
Pd12 0.0000 0.3481 0.0000
Pd13 0.3827 0.8518 0.3827
Ge2 0.7320 0.2680 0.2680
Pd14 0.3481 0.0000 0.0000
Pd15 0.0000 0.6519 0.0000
Pd16 0.8518 0.3827 0.3827
Pd17 0.1482 0.6173 0.6173
Ge3 0.7320 0.7320 0.2680
Pd18 0.0000 0.0000 0.3481
Ge4 0.2680 0.7320 0.7320
Ge5 0.2680 0.7320 0.2680
Pd19 0.6519 0.0000 0.0000
Ge6 0.2680 0.2680 0.7320
Pd20 0.3481 0.0000 0.6519

Record 5
DFT (PBE) results for crystalline PmGePd3 at its relaxed geometry.

Results
The space group is No. 194. The energy relative to the elements comes out at -0.6044 eV/atom. Its calculated total energy is -27.969 eV/f.u.

Cell lengths 6.2250, 6.2250, 11.8929 Å; angles 90.00, 90.00, 120.00 degrees
Sites, in units of the cell vectors:
Pd1 0.8589 0.1411 0.2500
Pm1 0.3333 0.6667 0.2500
Ge1 0.3333 0.6667 0.6382
Pd2 0.0000 0.5000 0.0000
Pd3 0.1411 0.2823 0.7500
Ge2 0.6667 0.3333 0.3618
Pm2 0.0000 0.0000 0.5000
Pm3 0.0000 0.0000 0.0000
Pd4 0.2823 0.1411 0.2500
Pd5 0.5000 0.5000 0.5000
Pd6 0.5000 0.0000 0.0000
Ge3 0.6667 0.3333 0.1382
Pd7 0.0000 0.5000 0.5000
Pd8 0.7177 0.8589 0.7500
Pd9 0.5000 0.5000 0.0000
Pm4 0.6667 0.3333 0.7500
Pd10 0.1411 0.8589 0.7500
Pd11 0.5000 0.0000 0.5000
Pd12 0.8589 0.7177 0.2500
Ge4 0.3333 0.6667 0.8618

Record 6
DFT (PBE) results for crystalline Pm3Ge8Pd3 at its relaxed geometry.

Results
The space group is No. 12. The energy relative to the elements comes out at -0.5799 eV/atom. Its calculated total energy is -74.888 eV/f.u.

Cell lengths 4.5080, 8.4007, 8.7126 Å; angles 63.26, 75.01, 74.44 degrees
Sites, in units of the cell vectors:
Ge1 0.5164 0.6677 0.2994
Pm1 0.2951 0.7225 0.6872
Pm2 0.0000 0.0000 0.0000
Ge2 0.1583 0.5648 0.1185
Ge3 0.3597 0.0011 0.2795
Ge4 0.8743 0.8437 0.4077
Pm3 0.7049 0.2775 0.3128
Pd1 0.3420 0.2957 0.0203
Ge5 0.8417 0.4352 0.8815
Pd2 0.0000 0.5000 0.5000
Pd3 0.6580 0.7043 0.9797
Ge6 0.1257 0.1563 0.5923
Ge7 0.4836 0.3323 0.7006
Ge8 0.6403 0.9989 0.7205

Record 7
DFT (PBE) results for crystalline Pm4Ge3Pd at its relaxed geometry.

Results
The space group is No. 25. The energy relative to the elements comes out at -0.8248 eV/atom. Its calculated total energy is -44.646 eV/f.u.

Cell lengths 4.2753, 4.1854, 11.1363 Å; angles 90.00, 90.00, 90.00 degrees
Sites, in units of the cell vectors:
Ge1 0.5000 0.0000 0.9173
Pm1 0.0000 0.5000 0.8644
Ge2 0.0000 0.0000 0.4205
Pm2 0.5000 0.0000 0.6403
Pd1 0.5000 0.5000 0.0786
Pm3 0.5000 0.5000 0.3598
Ge3 0.0000 0.5000 0.5838
Pm4 0.0000 0.0000 0.1354

Record 8
DFT (PBE) results for crystalline Pm2GePd at its relaxed geometry.

Results
The space group is No. 123. The energy relative to the elements comes out at -0.7191 eV/atom. Its calculated total energy is -22.188 eV/f.u.

Cell lengths 3.5734, 3.5734, 7.4770 Å; angles 90.00, 90.00, 90.00 degrees
Sites, in units of the cell vectors:
Pm1 0.0000 0.0000 0.2457
Pm2 0.0000 0.0000 0.7543
Ge1 0.5000 0.5000 0.5000
Pd1 0.5000 0.5000 0.0000

Record 9
DFT (PBE) results for crystalline Pm2Ge4Pd at its relaxed geometry.

Results
The space group is No. 42. The energy relative to the elements comes out at -0.5554 eV/atom. Its calculated total energy is -37.051 eV/f.u.

Cell lengths 6.1840, 6.1840, 6.0300 Å; angles 119.31, 119.31, 92.59 degrees
Sites, in units of the cell vectors:
Ge1 0.2784 0.2941 0.0000
Ge2 0.7059 0.7216 0.0000
Pm1 0.2460 0.7540 0.5000
Ge3 0.2786 0.2963 0.5748
Pd1 0.0412 0.9588 0.0000
Ge4 0.7037 0.7214 0.4252
Pm2 0.7460 0.2540 0.5000

Record 10
DFT (PBE) results for crystalline Pm3Ge7Pd2 at its relaxed geometry.

Results
The space group is No. 10. The energy relative to the elements comes out at -0.6580 eV/atom. Its calculated total energy is -64.855 eV/f.u.

Cell lengths 4.2865, 4.4105, 13.3272 Å; angles 99.04, 90.00, 90.00 degrees
Sites, in units of the cell vectors:
Pd1 0.5000 0.6235 0.2638
Ge1 0.5000 0.9098 0.8288
Ge2 0.5000 0.2726 0.5493
Ge3 0.0000 0.6599 0.1702
Ge4 0.0000 0.0000 0.0000
Ge5 0.0000 0.3401 0.8298
Ge6 0.5000 0.0902 0.1712
Pm1 0.5000 0.5000 0.0000
Pd2 0.5000 0.3765 0.7362
Pm2 0.0000 0.1895 0.3675
Pm3 0.0000 0.8105 0.6325
Ge7 0.5000 0.7274 0.4507

Record 11
DFT (PBE) results for crystalline Pm3Ge2Pd at its relaxed geometry.

Results
The space group is No. 62. The energy relative to the elements comes out at -0.8470 eV/atom. Its calculated total energy is -33.761 eV/f.u.

Cell lengths 4.3815, 11.6435, 11.8903 Å; angles 90.00, 90.00, 90.00 degrees
Last column: magnetic moment on the atom in μB.
Sites, in units of the cell vectors:
Pm1 0.7500 0.8718 0.4458  0.06
Ge1 0.2500 0.8116 0.9868  0.00
Pm2 0.7500 0.5598 0.6226  0.07
Pd1 0.7500 0.8729 0.8724  0.02
Pm3 0.7500 0.1926 0.2838  0.09
Pm4 0.2500 0.1282 0.5542  0.06
Ge2 0.7500 0.4984 0.1869  0.00
Pm5 0.2500 0.3718 0.0542  0.06
Ge3 0.7500 0.3116 0.5132  0.00
Pm6 0.2500 0.4402 0.3774  0.07
Ge4 0.2500 0.9984 0.3131  0.00
Pm7 0.2500 0.8074 0.7162  0.09
Pm8 0.7500 0.6282 0.9458  0.06
Pd2 0.2500 0.3729 0.6276  0.02
Ge5 0.2500 0.5016 0.8131  0.00
Ge6 0.2500 0.6884 0.4868  0.00
Pm9 0.7500 0.3074 0.7838  0.09
Pm10 0.2500 0.0598 0.8774  0.07
Pm11 0.2500 0.6926 0.2162  0.09
Pm12 0.7500 0.9402 0.1226  0.07
Ge7 0.7500 0.1884 0.0132  0.00
Pd3 0.2500 0.1271 0.1276  0.02
Ge8 0.7500 0.0016 0.6869  0.00
Pd4 0.7500 0.6271 0.3724  0.02

Record 12
DFT (PBE) results for crystalline Pm2GePd2 at its relaxed geometry.

Results
The space group is No. 12. The energy relative to the elements comes out at -0.8271 eV/atom. Its calculated total energy is -28.640 eV/f.u.

Cell lengths 4.2346, 5.7123, 10.2062 Å; angles 89.01, 78.03, 68.24 degrees
Sites, in units of the cell vectors:
Pm1 0.9227 0.2680 0.8866
Pd1 0.6398 0.8358 0.8846
Ge1 0.6176 0.0989 0.6660
Pd2 0.8937 0.7621 0.4505
Pm2 0.3344 0.6680 0.6632
Pd3 0.1063 0.2379 0.5495
Pd4 0.3602 0.1642 0.1154
Ge2 0.3824 0.9011 0.3340
Pm3 0.0773 0.7320 0.1134
Pm4 0.6656 0.3320 0.3368

Record 13
DFT (PBE) results for crystalline PmGe2Pd at its relaxed geometry.

Results
The space group is No. 225. The energy relative to the elements comes out at -0.4381 eV/atom. Its calculated total energy is -20.931 eV/f.u.

Cell lengths 4.8216, 4.8216, 4.8216 Å; angles 60.00, 60.00, 60.00 degrees
Sites, in units of the cell vectors:
Ge1 0.2500 0.2500 0.2500
Pd1 0.0000 0.0000 0.0000
Ge2 0.7500 0.7500 0.7500
Pm1 0.5000 0.5000 0.5000

Record 14
DFT (PBE) results for crystalline Pm4Ge8Pd at its relaxed geometry.

Results
The space group is No. 25. The energy relative to the elements comes out at -0.6568 eV/atom. Its calculated total energy is -69.673 eV/f.u.

Cell lengths 4.0647, 4.1901, 16.9726 Å; angles 90.00, 90.00, 90.00 degrees
Sites, in units of the cell vectors:
Pm1 0.5000 0.5000 0.4000
Pd1 0.0000 0.0000 0.3199
Ge1 0.0000 0.5000 0.9444
Ge2 0.0000 0.0000 0.4661
Pm2 0.5000 0.0000 0.8927
Ge3 0.5000 0.0000 0.5592
Ge4 0.0000 0.5000 0.2346
Ge5 0.5000 0.5000 0.7545
Ge6 0.5000 0.5000 0.0398
Ge7 0.0000 0.0000 0.7484
Ge8 0.5000 0.0000 0.2335
Pm3 0.0000 0.0000 0.0997
Pm4 0.0000 0.5000 0.6101

Record 15
DFT (PBE) results for crystalline Pm4GePd at its relaxed geometry.

Results
The space group is No. 12. The energy relative to the elements comes out at -0.4315 eV/atom. Its calculated total energy is -31.402 eV/f.u.

Cell lengths 4.9535, 4.9563, 7.2846 Å; angles 89.91, 89.95, 90.00 degrees
Sites, in units of the cell vectors:
Pm1 0.0010 0.4969 0.2514
Ge1 0.5013 0.4973 0.9980
Pm2 0.5011 0.9968 0.2513
Pm3 0.5015 0.9978 0.7450
Pd1 0.0013 0.9973 0.4982
Pm4 0.0015 0.4976 0.7450

Record 16
DFT (PBE) results for crystalline Pm3Ge3Pd2 at its relaxed geometry.

Results
The space group is No. 63. The energy relative to the elements comes out at -0.9211 eV/atom. Its calculated total energy is -45.859 eV/f.u.

Cell lengths 4.4115, 5.8120, 14.7830 Å; angles 90.00, 90.00, 112.30 degrees
Sites, in units of the cell vectors:
Pm1 0.6328 0.2655 0.2500
Pm2 0.3672 0.7345 0.7500
Pd1 0.8000 0.6000 0.5996
Ge1 0.3897 0.7794 0.9609
Ge2 0.6103 0.2206 0.4609
Ge3 0.6103 0.2206 0.0391
Ge4 0.6609 0.3218 0.7500
Pd2 0.2000 0.4000 0.0996
Pd3 0.8000 0.6000 0.9004
Ge5 0.3391 0.6782 0.2500
Pd4 0.2000 0.4000 0.4004
Ge6 0.3897 0.7794 0.5391
Pm3 0.9076 0.8151 0.3914
Pm4 0.9076 0.8151 0.1086
Pm5 0.0924 0.1849 0.8914
Pm6 0.0924 0.1849 0.6086

Record 17
DFT (PBE) results for crystalline Pm2Ge5Pd at its relaxed geometry.

Results
The space group is No. 107. The energy relative to the elements comes out at -0.5385 eV/atom. Its calculated total energy is -42.089 eV/f.u.

Cell lengths 6.0013, 6.0014, 6.3616 Å; angles 118.15, 118.15, 90.00 degrees
Sites, in units of the cell vectors:
Pm1 0.7509 0.2510 0.5019
Ge1 0.2589 0.2589 0.9840
Ge2 0.7251 0.7251 0.9841
Ge3 0.7251 0.2590 0.9841
Pd1 0.1192 0.1192 0.2383
Ge4 0.6878 0.6878 0.3756
Ge5 0.2590 0.7251 0.9841
Pm2 0.2510 0.7509 0.5019

Record 18
DFT (PBE) results for crystalline Pm2Ge3Pd9 at its relaxed geometry.

Results
The space group is No. 15. The energy relative to the elements comes out at -0.7244 eV/atom. Its calculated total energy is -80.231 eV/f.u.

Cell lengths 7.8375, 7.8375, 10.1805 Å; angles 89.85, 112.64, 120.22 degrees
Sites, in units of the cell vectors:
Pd1 0.1115 0.1393 0.4260
Pd2 0.7882 0.4828 0.4202
Pd3 0.8814 0.1314 0.7500
Pd4 0.4603 0.9225 0.7468
Pd5 0.5342 0.1889 0.5455
Pd6 0.5625 0.3679 0.0798
Pd7 0.2134 0.6855 0.0740
Pd8 0.6757 0.7135 0.7532
Pd9 0.1434 0.9887 0.9545
Ge1 0.1763 0.3490 0.0001
Pd10 0.5397 0.0775 0.2532
Ge2 0.1511 0.8238 0.5001
Pm1 0.9919 0.5857 0.7489
Pd11 0.1186 0.8686 0.2500
Ge3 0.5000 0.5000 0.5000
Pd12 0.8885 0.8607 0.5740
Pd13 0.3243 0.2865 0.2468
Ge4 0.8238 0.6510 0.9999
Pd14 0.7866 0.3145 0.9260
Pd15 0.4658 0.8111 0.4545
Pd16 0.4375 0.6321 0.9202
Ge5 0.5000 0.0000 0.0000
Pd17 0.8566 0.0113 0.0455
Pm2 0.0081 0.4143 0.2511
Pd18 0.2118 0.5172 0.5798
Ge6 0.8489 0.1762 0.4999
Pm3 0.6631 0.7570 0.2489
Pm4 0.3369 0.2430 0.7511

Record 19
DFT (PBE) results for crystalline PmGe3Pd2 at its relaxed geometry.

Results
The space group is No. 12. The energy relative to the elements comes out at -0.5605 eV/atom. Its calculated total energy is -32.351 eV/f.u.

Cell lengths 4.5144, 7.2014, 8.2148 Å; angles 115.82, 105.95, 90.00 degrees
Sites, in units of the cell vectors:
Pm1 0.8632 0.8648 0.7265
Pd1 0.5007 0.1920 0.0014
Ge1 0.3286 0.5338 0.6571
Pd2 0.4993 0.8080 0.9986
Ge2 0.6702 0.8738 0.3403
Ge3 0.0004 0.3358 0.0009
Pm2 0.1368 0.1352 0.2735
Ge4 0.3298 0.1262 0.6597
Ge5 0.9996 0.6642 0.9991
Pd3 0.1930 0.6931 0.3861
Pd4 0.8070 0.3069 0.6139
Ge6 0.6714 0.4662 0.3429